PaNiPd6 | PBE | relaxed

abc: 5.762 5.762 5.714
angles: 105.13 105.13 120.56
Element x y z (fractional)
Pd (0.513, 0.969, 0.747)
Pd (0.259, 0.259, 0.748)
Pd (0.487, 0.031, 0.253)
Pd (0.031, 0.487, 0.253)
Pd (0.741, 0.741, 0.252)
Ni (0.500, 0.500, 0.500)
Pd (0.969, 0.513, 0.747)
Pa (0.000, 0.000, 0.000)

Calculated volume, Å³/atom: 17.4
Formation energy from the elements, meV per atom: -209
Total DFT energy (no corrections), eV/cell: -48.11
N(E_F), states/eV per cell: 5.37


Pa2Ni9Pd | PBE | relaxed

abc: 4.905 4.905 8.453
angles: 73.13 73.13 60.00
Element x y z (fractional)
Ni (0.080, 0.585, 0.750)
Ni (0.333, 0.333, 0.000)
Pd (0.000, 0.000, 0.000)
Ni (0.585, 0.080, 0.750)
Ni (0.415, 0.920, 0.250)
Ni (0.920, 0.415, 0.250)
Ni (0.415, 0.415, 0.250)
Pa (0.128, 0.128, 0.615)
Pa (0.872, 0.872, 0.385)
Ni (0.667, 0.667, 0.000)
Ni (0.585, 0.585, 0.750)
Ni (0.500, 0.500, 0.500)

Calculated volume, Å³/atom: 13.8
Formation energy from the elements, meV per atom: -255
Total DFT energy (no corrections), eV/cell: -79.27
N(E_F), states/eV per cell: 10.59


PaNiPd3 | PBE | relaxed

abc: 5.528 5.530 11.238
angles: 90.00 88.81 90.00
Element x y z (fractional)
Pd (0.000, 0.090, 0.150)
Pd (0.500, 0.410, 0.650)
Ni (0.526, 0.428, 0.142)
Pd (0.680, 0.831, 0.541)
Pd (0.328, 0.187, 0.970)
Pa (0.005, 0.531, 0.259)
Ni (0.026, 0.072, 0.642)
Pd (0.320, 0.169, 0.459)
Pd (0.172, 0.687, 0.530)
Pa (0.505, 0.969, 0.759)
Ni (0.474, 0.572, 0.858)
Pd (0.820, 0.331, 0.959)
Pd (0.000, 0.910, 0.850)
Pd (0.500, 0.590, 0.350)
Ni (0.974, 0.928, 0.358)
Pa (0.995, 0.469, 0.741)
Pd (0.672, 0.813, 0.030)
Pd (0.828, 0.313, 0.470)
Pd (0.180, 0.669, 0.041)
Pa (0.495, 0.031, 0.241)

Calculated volume, Å³/atom: 17.2
Formation energy from the elements, meV per atom: -463
Total DFT energy (no corrections), eV/cell: -132.69
N(E_F), states/eV per cell: 12.55


PaNi5Pd | PBE | relaxed

abc: 4.796 7.881 10.123
angles: 90.00 90.00 90.00
Element x y z (fractional)
Ni (0.750, 0.809, 0.742)
Ni (0.250, 0.457, 0.398)
Ni (0.503, 0.934, 0.312)
Pa (0.250, 0.745, 0.564)
Ni (0.750, 0.406, 0.982)
Pa (0.250, 0.245, 0.936)
Pd (0.750, 0.640, 0.361)
Ni (0.997, 0.934, 0.312)
Ni (0.497, 0.066, 0.688)
Ni (0.750, 0.309, 0.758)
Pa (0.750, 0.255, 0.436)
Ni (0.497, 0.566, 0.812)
Pd (0.250, 0.860, 0.861)
Ni (0.250, 0.691, 0.242)
Ni (0.003, 0.066, 0.688)
Ni (0.250, 0.594, 0.018)
Ni (0.250, 0.957, 0.102)
Ni (0.250, 0.191, 0.258)
Pd (0.250, 0.360, 0.639)
Pa (0.750, 0.755, 0.064)
Ni (0.750, 0.043, 0.898)
Ni (0.250, 0.094, 0.482)
Ni (0.997, 0.434, 0.188)
Ni (0.003, 0.566, 0.812)
Ni (0.750, 0.906, 0.518)
Ni (0.750, 0.543, 0.602)
Pd (0.750, 0.140, 0.139)
Ni (0.503, 0.434, 0.188)

Calculated volume, Å³/atom: 13.7
Formation energy from the elements, meV per atom: -323
Total DFT energy (no corrections), eV/cell: -183.44
N(E_F), states/eV per cell: 28.59


PaNi8Pd3 | PBE | relaxed

abc: 4.842 4.842 7.783
angles: 90.00 90.00 120.00
Element x y z (fractional)
Pd (0.000, 0.000, 0.946)
Pd (0.667, 0.333, 0.061)
Ni (0.333, 0.667, 0.497)
Ni (0.503, 0.497, 0.755)
Ni (0.503, 0.005, 0.755)
Ni (0.671, 0.835, 0.246)
Ni (0.333, 0.667, 0.998)
Pa (0.000, 0.000, 0.567)
Pd (0.667, 0.333, 0.430)
Ni (0.995, 0.497, 0.755)
Ni (0.165, 0.329, 0.246)
Ni (0.165, 0.835, 0.246)

Calculated volume, Å³/atom: 13.2
Formation energy from the elements, meV per atom: -219
Total DFT energy (no corrections), eV/cell: -73.95
N(E_F), states/eV per cell: 14.97


PmPaNiPd | PBE | relaxed

abc: 4.935 4.935 4.935
angles: 60.00 60.00 60.00
Element x y z (fractional)
Ni (0.250, 0.250, 0.250)
Pa (0.500, 0.500, 0.500)
Pm (0.000, 0.000, 0.000)
Pd (0.750, 0.750, 0.750)

Calculated volume, Å³/atom: 21.2
Formation energy from the elements, meV per atom: -271
Total DFT energy (no corrections), eV/cell: -26.31
N(E_F), states/eV per cell: 6.93


PrPaNiPd | PBE | relaxed

abc: 4.967 4.967 4.967
angles: 60.00 60.00 60.00
Element x y z (fractional)
Ni (0.250, 0.250, 0.250)
Pa (0.000, 0.000, 0.000)
Pd (0.750, 0.750, 0.750)
Pr (0.500, 0.500, 0.500)

Calculated volume, Å³/atom: 21.7
Formation energy from the elements, meV per atom: -223
Total DFT energy (no corrections), eV/cell: -26.14
N(E_F), states/eV per cell: 7.03


PaNiPdRh | PBE | relaxed

abc: 4.009 3.919 4.180
angles: 90.00 90.00 90.00
Element x y z (fractional)
Rh (0.500, 0.000, 0.500)
Pa (0.000, 0.500, 0.500)
Ni (0.000, 0.000, 0.000)
Pd (0.500, 0.500, 0.000)

Calculated volume, Å³/atom: 16.4
Formation energy from the elements, meV per atom: -746
Total DFT energy (no corrections), eV/cell: -30.81
N(E_F), states/eV per cell: 0.80